Entry 1:
# Ba2HoAsO6 | the Alexandria database | PBE-GGA | optimized geometry
# Total moment in μB per cell: 0.00
# Formation energy (no corrections) in meV per atom: -2508.1
# Mass density in g cm⁻³: 6.7
data_Ba2HoAsO6
_space_group_name_H-M_alt 'R -3 m'
_space_group_IT_number 166
_space_group_name_Hall '-R 3 2"'
_cell_length_a 5.9446
_cell_length_b 5.9446
_cell_length_c 29.5759
_cell_angle_alpha 90.00
_cell_angle_beta 90.00
_cell_angle_gamma 120.00
loop_
_atom_site_label
_atom_site_fract_x
_atom_site_fract_y
_atom_site_fract_z
_atom_site_occupancy
Ba1 0.0000 0.0000 0.1329 1
Ba2 0.0000 0.0000 0.2824 1
Ho1 0.0000 0.0000 0.4044 1
As1 0.0000 0.0000 0.0000 1
As2 0.0000 0.0000 0.5000 1
O1 0.0343 0.5171 0.7029 1
O2 0.0347 0.5173 0.1288 1

***

Entry 2:
# AgBP2Cl | the Alexandria database | PBE-GGA | optimized geometry
# Total moment in μB per cell: 1.67
# Formation energy (no corrections) in meV per atom: 1728.0
# Mass density in g cm⁻³: 2.9
# E above lowest polymorph in meV per atom: 1102
data_AgBP2Cl
_space_group_name_H-M_alt 'P 4/m m m'
_space_group_IT_number 123
_space_group_name_Hall '-P 4 2'
_cell_length_a 4.7506
_cell_length_b 4.7506
_cell_length_c 5.4215
_cell_angle_alpha 90.00
_cell_angle_beta 90.00
_cell_angle_gamma 90.00
loop_
_atom_site_label
_atom_site_fract_x
_atom_site_fract_y
_atom_site_fract_z
_atom_site_occupancy
Ag1 0.0000 0.0000 0.0000 1
B1 0.5000 0.5000 0.5000 1
P1 0.0000 0.5000 0.0000 1
Cl1 0.0000 0.0000 0.5000 1

***

Entry 3:
# K2LiGa3Au12 | the Alexandria database | PBE-GGA | optimized geometry
# Total moment in μB per cell: 0.00
# Mass density in g cm⁻³: 10.0
# Energy of formation in eV/atom: -0.03
data_K2LiGa3Au12
_space_group_name_H-M_alt 'R -3 m'
_space_group_IT_number 166
_space_group_name_Hall '-R 3 2"'
_cell_length_a 8.8382
_cell_length_b 8.8382
_cell_length_c 19.6468
_cell_angle_alpha 90.00
_cell_angle_beta 90.00
_cell_angle_gamma 120.00
loop_
_atom_site_label
_atom_site_fract_x
_atom_site_fract_y
_atom_site_fract_z
_atom_site_occupancy
K1 0.0000 0.0000 0.1217 1
Li1 0.0000 0.0000 0.5000 1
Ga1 0.0000 0.5000 0.0000 1
Au1 0.0166 0.5083 0.3605 1
Au2 0.0206 0.5103 0.1276 1

***

Calculated N(E_F) in order - 0.000, 4.045, 13.896 states/eV/cell